Entry from Alexandria via LeMat-Bulk: a relaxed PmHf2Ti crystal (PBE-GGA).

Structure (POSCAR):
```
PmHf2Ti
1.0
-2.216 -2.214 0.308
0.783 -3.044 -0.161
1.193 -1.901 11.014
Ti Hf Pm
1 2 1
Direct
0.500 0.500 0.500
0.096 0.096 0.711
0.904 0.904 0.289
0.000 0.000 0.000
```

Properties
D(E_F): 5.60 states/eV/cell
Space group: No. 166
ΔE to the lowest computed polymorph: 92 meV/atom
Spin magnetization: 0.0 μB per formula unit

---

Entry from Alexandria via LeMat-Bulk: a relaxed La2YBi2 crystal (PBE-GGA).

Structure (POSCAR):
```
La2YBi2
1.0
-1.882 -0.663 -8.383
-8.271 -1.407 1.969
-0.794 4.430 -0.172
Y Bi La
2 4 4
Direct
0.000 0.000 0.000
0.500 0.500 0.000
0.349 0.849 0.000
0.849 0.651 0.000
0.651 0.151 0.000
0.151 0.349 0.000
0.154 0.654 0.500
0.654 0.846 0.500
0.846 0.346 0.500
0.346 0.154 0.500
```

Properties
D(E_F): 9.88 states/eV/cell
Space group: No. 127
ΔE to the lowest computed polymorph: 0 meV/atom
Spin magnetization: 0.6 μB per formula unit

---

Entry from Alexandria via LeMat-Bulk: a relaxed Th8AsP3Se4 crystal (PBE-GGA).

Structure (POSCAR):
```
Th8AsP3Se4
1.0
8.333 0.000 0.000
0.000 8.428 0.061
-4.167 -4.163 5.895
Th As P Se
8 1 3 4
Direct
0.248 0.735 0.986
0.248 0.735 0.497
0.257 0.270 0.513
0.738 0.735 0.986
0.262 0.265 0.014
0.743 0.730 0.487
0.752 0.265 0.503
0.752 0.265 0.014
0.000 0.500 0.000
0.500 0.500 0.000
0.500 0.500 0.500
0.000 0.500 0.500
0.500 0.000 0.000
0.500 0.000 0.500
0.000 0.000 0.000
0.000 0.000 0.500
```

Properties
D(E_F): 7.27 states/eV/cell
Space group: No. 166
Raw formation energy: -1578 meV per atom
Spin magnetization: 0.0 μB per formula unit

---

Entry from Alexandria via LeMat-Bulk: a relaxed Th5IrPb2 crystal (PBE-GGA).

Structure (POSCAR):
```
Th5IrPb2
1.0
5.587 0.000 0.000
-2.793 7.929 0.000
0.000 0.000 13.358
Th Ir Pb
10 2 4
Direct
0.922 0.845 0.902
0.922 0.845 0.598
0.298 0.596 0.462
0.298 0.596 0.038
0.687 0.374 0.250
0.313 0.626 0.750
0.702 0.404 0.538
0.702 0.404 0.962
0.078 0.155 0.098
0.078 0.155 0.402
0.804 0.608 0.750
0.196 0.392 0.250
0.872 0.744 0.366
0.872 0.744 0.134
0.128 0.256 0.634
0.128 0.256 0.866
```

Properties
Uncorrected energy: -0.482 Ry/atom
D(E_F): 20.93 states/eV/cell
Space group: No. 63
Spin magnetization: 0.0 μB per formula unit

---

Entry from Alexandria via LeMat-Bulk: a relaxed MgTl2Ge2Au7 crystal (PBE-GGA).

Structure (POSCAR):
```
MgTl2Ge2Au7
1.0
4.145 -0.006 0.020
-0.001 4.145 0.020
2.070 2.067 16.079
Mg Tl Ge Au
1 2 2 7
Direct
0.000 0.000 0.000
0.789 0.789 0.422
0.211 0.211 0.578
0.619 0.619 0.769
0.381 0.381 0.231
0.500 0.500 0.000
0.306 0.306 0.388
0.694 0.694 0.612
0.933 0.433 0.130
0.433 0.933 0.130
0.567 0.067 0.870
0.067 0.567 0.870
```

Properties
Uncorrected energy: -0.244 Ry/atom
D(E_F): 3.66 states/eV/cell
Space group: No. 12
Spin magnetization: 0.0 μB per formula unit

---

Entry from Alexandria via LeMat-Bulk: a relaxed NaPmSO crystal (PBE-GGA).

Structure (POSCAR):
```
NaPmSO
1.0
3.819 0.000 0.000
1.909 3.307 0.000
1.909 1.102 6.273
Na Pm S O
1 1 1 1
Direct
0.499 0.499 0.504
0.986 0.986 0.043
0.747 0.747 0.760
0.269 0.269 0.193
```

Properties
D(E_F): 0.00 states/eV/cell
Space group: No. 160
Raw formation energy: -2172 meV per atom
Spin magnetization: 0.0 μB per formula unit

---

Entry from Alexandria via LeMat-Bulk: a relaxed CaCd2Rh2 crystal (PBE-GGA).

Structure (POSCAR):
```
CaCd2Rh2
1.0
-1.413 3.746 0.659
-3.074 -0.711 -2.552
-4.827 -5.898 10.683
Ca Cd Rh
2 4 4
Direct
0.619 0.619 0.237
0.381 0.381 0.763
0.000 0.500 0.000
0.177 0.177 0.355
0.500 0.000 0.000
0.823 0.823 0.645
0.750 0.250 0.500
0.927 0.927 0.855
0.073 0.073 0.145
0.250 0.750 0.500
```

Properties
D(E_F): 8.58 states/eV/cell
Space group: No. 139
ΔE to the lowest computed polymorph: 110 meV/atom
Spin magnetization: 0.4 μB per formula unit

---

Entry from Alexandria via LeMat-Bulk: a relaxed CdAg2Te crystal (PBE-GGA).

Structure (POSCAR):
```
CdAg2Te
1.0
-3.078 1.224 -3.789
-1.559 -3.540 -3.219
-4.796 -1.521 0.063
Te Ag Cd
1 2 1
Direct
0.750 0.750 0.750
0.000 0.000 0.000
0.250 0.250 0.250
0.500 0.500 0.500
```

Properties
D(E_F): 0.87 states/eV/cell
Space group: No. 216
ΔE to the lowest computed polymorph: 141 meV/atom
Raw formation energy: 139 meV per atom
Spin magnetization: 0.0 μB per formula unit

---

Which value of spin magnetization does entry 3 give? 0.0 μB per formula unit

---

Copy entry 2 word for word.
Entry from Alexandria via LeMat-Bulk: a relaxed La2YBi2 crystal (PBE-GGA).

Structure (POSCAR):
```
La2YBi2
1.0
-1.882 -0.663 -8.383
-8.271 -1.407 1.969
-0.794 4.430 -0.172
Y Bi La
2 4 4
Direct
0.000 0.000 0.000
0.500 0.500 0.000
0.349 0.849 0.000
0.849 0.651 0.000
0.651 0.151 0.000
0.151 0.349 0.000
0.154 0.654 0.500
0.654 0.846 0.500
0.846 0.346 0.500
0.346 0.154 0.500
```

Properties
D(E_F): 9.88 states/eV/cell
Space group: No. 127
ΔE to the lowest computed polymorph: 0 meV/atom
Spin magnetization: 0.6 μB per formula unit